[1]
A relaxed Ac3Sb4Pt2 crystal. Source: Alexandria, functional PBE.

Values from the calculation:
Symmetry: C2/m (12)
DOS at the Fermi energy, states/eV per cell: 4.02
Raw formation energy, eV/atom: -0.964
Raw total energy, eV per atom: -5.508

a b c (Å): 6.7134 6.7134 9.3416
angles (deg): 105.48 105.48 42.14
Element x y z (fractional)
1 Ac 0.0000 0.0000 0.0000
2 Ac 0.3412 0.3412 0.3204
3 Ac 0.6588 0.6588 0.6796
4 Sb 0.0777 0.0777 0.4007
5 Sb 0.2993 0.2993 0.9113
6 Sb 0.7007 0.7007 0.0887
7 Sb 0.9223 0.9223 0.5993
8 Pt 0.4170 0.4170 0.7076
9 Pt 0.5830 0.5830 0.2924



[2]
A relaxed Ac6SbPt4 crystal. Source: Alexandria, functional PBE.

Values from the calculation:
Symmetry: Cmcm (63)
DOS at the Fermi energy, states/eV per cell: 13.04
Raw formation energy, eV/atom: -1.089
Raw total energy, eV per atom: -5.901

a b c (Å): 7.6653 7.6653 22.4814
angles (deg): 90.00 90.00 146.14
Element x y z (fractional)
1 Ac 0.0000 0.0000 0.0000
2 Ac 0.0000 0.0000 0.5000
3 Ac 0.1706 0.8294 0.7500
4 Ac 0.2708 0.7292 0.0816
5 Ac 0.2708 0.7292 0.4184
6 Ac 0.4614 0.5386 0.6581
7 Ac 0.4614 0.5386 0.8419
8 Ac 0.5386 0.4614 0.1581
9 Ac 0.5386 0.4614 0.3419
10 Ac 0.7292 0.2708 0.5816
11 Ac 0.7292 0.2708 0.9184
12 Ac 0.8294 0.1706 0.2500
13 Sb 0.1554 0.8446 0.2500
14 Sb 0.8446 0.1554 0.7500
15 Pt 0.0962 0.9038 0.6249
16 Pt 0.0962 0.9038 0.8751
17 Pt 0.3630 0.6370 0.5421
18 Pt 0.3630 0.6370 0.9579
19 Pt 0.6370 0.3630 0.0421
20 Pt 0.6370 0.3630 0.4579
21 Pt 0.9038 0.0962 0.1249
22 Pt 0.9038 0.0962 0.3751



[3]
A relaxed Ac3Sb4Pt3 crystal. Source: Alexandria, functional PBE.

Values from the calculation:
Symmetry: I-43d (220)
DOS at the Fermi energy, states/eV per cell: 19.89
Raw formation energy, eV/atom: -1.029
Raw total energy, eV per atom: -5.723

a b c (Å): 8.9165 8.9165 8.9165
angles (deg): 109.47 109.47 109.47
Element x y z (fractional)
1 Ac 0.1250 0.8750 0.2500
2 Ac 0.2500 0.1250 0.8750
3 Ac 0.3750 0.6250 0.7500
4 Ac 0.6250 0.7500 0.3750
5 Ac 0.7500 0.3750 0.6250
6 Ac 0.8750 0.2500 0.1250
7 Sb 0.0000 0.1625 0.5000
8 Sb 0.0000 0.6625 0.5000
9 Sb 0.1625 0.5000 0.0000
10 Sb 0.3375 0.3375 0.3375
11 Sb 0.5000 0.0000 0.1625
12 Sb 0.5000 0.0000 0.6625
13 Sb 0.6625 0.5000 0.0000
14 Sb 0.8375 0.8375 0.8375
15 Pt 0.1250 0.7500 0.8750
16 Pt 0.2500 0.6250 0.3750
17 Pt 0.3750 0.2500 0.6250
18 Pt 0.6250 0.3750 0.2500
19 Pt 0.7500 0.8750 0.1250
20 Pt 0.8750 0.1250 0.7500



[4]
A relaxed Ac4Sb2Pt crystal. Source: Alexandria, functional PBE.

Values from the calculation:
Symmetry: I4/mmm (139)
DOS at the Fermi energy, states/eV per cell: 11.17
Raw formation energy, eV/atom: -0.782
Raw total energy, eV per atom: -5.170

a b c (Å): 5.6165 5.6165 17.7394
angles (deg): 90.00 90.00 90.00
Element x y z (fractional)
1 Ac 0.0000 0.0000 0.1775
2 Ac 0.0000 0.0000 0.8225
3 Ac 0.0000 0.5000 0.0000
4 Ac 0.0000 0.5000 0.5000
5 Ac 0.5000 0.0000 0.0000
6 Ac 0.5000 0.0000 0.5000
7 Ac 0.5000 0.5000 0.3225
8 Ac 0.5000 0.5000 0.6775
9 Sb 0.0000 0.0000 0.3664
10 Sb 0.0000 0.0000 0.6336
11 Sb 0.5000 0.5000 0.1336
12 Sb 0.5000 0.5000 0.8664
13 Pt 0.0000 0.0000 0.0000
14 Pt 0.5000 0.5000 0.5000



[5]
A relaxed AcSb2Pt crystal. Source: Alexandria, functional PBE.

Values from the calculation:
Symmetry: R-3m (166)
E above lowest polymorph, meV per atom: 522
DOS at the Fermi energy, states/eV per cell: 11.16
Raw formation energy, eV/atom: -0.240
Raw total energy, eV per atom: -4.838

a b c (Å): 4.1980 4.1980 27.2674
angles (deg): 90.00 90.00 120.00
Element x y z (fractional)
1 Ac 0.0000 0.0000 0.0000
2 Ac 0.3333 0.6667 0.6667
3 Ac 0.6667 0.3333 0.3333
4 Sb 0.0000 0.0000 0.1227
5 Sb 0.0000 0.0000 0.8773
6 Sb 0.3333 0.6667 0.5440
7 Sb 0.3333 0.6667 0.7894
8 Sb 0.6667 0.3333 0.2106
9 Sb 0.6667 0.3333 0.4560
10 Pt 0.0000 0.0000 0.5000
11 Pt 0.3333 0.6667 0.1667
12 Pt 0.6667 0.3333 0.8333



[6]
A relaxed Ac2SbPt crystal. Source: Alexandria, functional PBE.

Values from the calculation:
Symmetry: Fm-3m (225)
E above lowest polymorph, meV per atom: 181
DOS at the Fermi energy, states/eV per cell: 16.85
Raw formation energy, eV/atom: -0.866
Raw total energy, eV per atom: -5.461

a b c (Å): 7.8973 7.8973 7.8973
angles (deg): 90.00 90.00 90.00
Element x y z (fractional)
1 Ac 0.2500 0.2500 0.2500
2 Ac 0.2500 0.2500 0.7500
3 Ac 0.2500 0.7500 0.2500
4 Ac 0.2500 0.7500 0.7500
5 Ac 0.7500 0.2500 0.2500
6 Ac 0.7500 0.2500 0.7500
7 Ac 0.7500 0.7500 0.2500
8 Ac 0.7500 0.7500 0.7500
9 Sb 0.0000 0.0000 0.0000
10 Sb 0.0000 0.5000 0.5000
11 Sb 0.5000 0.0000 0.5000
12 Sb 0.5000 0.5000 0.0000
13 Pt 0.0000 0.0000 0.5000
14 Pt 0.0000 0.5000 0.0000
15 Pt 0.5000 0.0000 0.0000
16 Pt 0.5000 0.5000 0.5000



[7]
A relaxed AcSb2Pt crystal. Source: Alexandria, functional PBE.

Values from the calculation:
Symmetry: P2/m (10)
E above lowest polymorph, meV per atom: 0
DOS at the Fermi energy, states/eV per cell: 1.51
Raw formation energy, eV/atom: -0.761
Raw total energy, eV per atom: -5.360

a b c (Å): 5.1926 4.3736 5.2205
angles (deg): 90.00 105.25 90.00
Element x y z (fractional)
1 Ac 0.0000 0.0000 0.0000
2 Sb 0.3074 0.5000 0.6951
3 Sb 0.6926 0.5000 0.3049
4 Pt 0.5000 0.0000 0.5000



[8]
A relaxed Ac2Sb3Pt2 crystal. Source: Alexandria, functional PBE.

Values from the calculation:
Symmetry: Cmcm (63)
E above lowest polymorph, meV per atom: 2
DOS at the Fermi energy, states/eV per cell: 6.82
Raw formation energy, eV/atom: -0.851
Raw total energy, eV per atom: -5.518

a b c (Å): 11.1255 11.1255 7.4153
angles (deg): 90.00 90.00 155.29
Element x y z (fractional)
1 Ac 0.0322 0.9678 0.7500
2 Ac 0.1648 0.8352 0.2500
3 Ac 0.8352 0.1648 0.7500
4 Ac 0.9678 0.0322 0.2500
5 Sb 0.2098 0.7902 0.7500
6 Sb 0.4184 0.5816 0.5292
7 Sb 0.4184 0.5816 0.9708
8 Sb 0.5816 0.4184 0.0292
9 Sb 0.5816 0.4184 0.4708
10 Sb 0.7902 0.2098 0.2500
11 Pt 0.2934 0.7066 0.0341
12 Pt 0.2934 0.7066 0.4659
13 Pt 0.7066 0.2934 0.5341
14 Pt 0.7066 0.2934 0.9659



[9]
A relaxed AcSbPt4 crystal. Source: Alexandria, functional PBE.

Values from the calculation:
Symmetry: Pmma (51)
E above lowest polymorph, meV per atom: 81
DOS at the Fermi energy, states/eV per cell: 8.52
Raw formation energy, eV/atom: -0.562
Raw total energy, eV per atom: -5.961

a b c (Å): 7.9142 4.2089 7.5353
angles (deg): 90.00 90.00 90.00
Element x y z (fractional)
1 Ac 0.2500 0.0000 0.1588
2 Ac 0.7500 0.0000 0.8412
3 Sb 0.2500 0.0000 0.7279
4 Sb 0.7500 0.0000 0.2721
5 Pt 0.0000 0.0000 0.5000
6 Pt 0.0434 0.5000 0.8250
7 Pt 0.2500 0.5000 0.4820
8 Pt 0.4566 0.5000 0.8250
9 Pt 0.5000 0.0000 0.5000
10 Pt 0.5434 0.5000 0.1750
11 Pt 0.7500 0.5000 0.5180
12 Pt 0.9566 0.5000 0.1750



[10]
A relaxed AcSbPtSe crystal. Source: Alexandria, functional PBE.

Values from the calculation:
Symmetry: R-3m (166)
DOS at the Fermi energy, states/eV per cell: 4.35
Raw formation energy, eV/atom: -1.117
Raw total energy, eV per atom: -5.556

a b c (Å): 12.6757 12.6757 12.6757
angles (deg): 21.23 21.23 21.23
Element x y z (fractional)
1 Ac 0.1024 0.1024 0.1024
2 Ac 0.8976 0.8976 0.8976
3 Sb 0.2989 0.2989 0.2989
4 Sb 0.7011 0.7011 0.7011
5 Pt 0.3722 0.3722 0.3722
6 Pt 0.6278 0.6278 0.6278
7 Se 0.1970 0.1970 0.1970
8 Se 0.8030 0.8030 0.8030



[11]
A relaxed Ac6SbPt3Se2 crystal. Source: Alexandria, functional PBE.

Values from the calculation:
Symmetry: C2/m (12)
DOS at the Fermi energy, states/eV per cell: 7.53
Raw formation energy, eV/atom: -1.371
Raw total energy, eV per atom: -5.859

a b c (Å): 10.2819 10.2819 9.2838
angles (deg): 106.92 106.92 24.87
Element x y z (fractional)
1 Ac 0.0050 0.0050 0.2333
2 Ac 0.3266 0.3266 0.4269
3 Ac 0.3373 0.3373 0.9050
4 Ac 0.6627 0.6627 0.0950
5 Ac 0.6734 0.6734 0.5731
6 Ac 0.9950 0.9950 0.7667
7 Sb 0.5000 0.5000 0.5000
8 Pt 0.1669 0.1669 0.3314
9 Pt 0.5000 0.5000 0.0000
10 Pt 0.8331 0.8331 0.6686
11 Se 0.1688 0.1688 0.8378
12 Se 0.8312 0.8312 0.1622



Number 1: M_tot 0.00 μB per formula unit. Number 2: M_tot 0.00 μB per formula unit. Number 3: M_tot 0.00 μB per formula unit. Number 4: M_tot 0.00 μB per formula unit. Number 5: M_tot 0.00 μB per formula unit. Number 6: M_tot 0.38 μB per formula unit. Number 7: M_tot 0.00 μB per formula unit. Number 8: M_tot 0.00 μB per formula unit. Number 9: M_tot 0.00 μB per formula unit. Number 10: M_tot 0.00 μB per formula unit. Number 11: M_tot 0.00 μB per formula unit.